# 1
# TiBH2 | the Alexandria database | SCAN | single point on PBEsol structure
data_TiBH2
_chemical_formula_sum 'Ti4 B4 H8'
_cell_length_a 3.216
_cell_length_b 3.216
_cell_length_c 10.675
_cell_angle_alpha 90.00
_cell_angle_beta 90.00
_cell_angle_gamma 90.00
_symmetry_space_group_name_H-M 'I -4 2 d'
_symmetry_Int_Tables_number 122
_symmetry_space_group_name_Hall 'I -4 2bw'
loop_
_atom_site_label
_atom_site_type_symbol
_atom_site_fract_x
_atom_site_fract_y
_atom_site_fract_z
Ti1 Ti 0.000 0.000 0.000
B1 B 0.000 0.000 0.500
H1 H 0.128 0.250 0.625
# M_tot in Bohr magnetons per cell: 0.00
# Crystal system: tetragonal
# Raw total energy in eV/atom: -7.405



# 2
# MgScIn2 | the Alexandria database | SCAN | single point on PBEsol structure
data_MgScIn2
_chemical_formula_sum 'Mg4 Sc4 In8'
_cell_length_a 7.136
_cell_length_b 7.136
_cell_length_c 7.136
_cell_angle_alpha 90.00
_cell_angle_beta 90.00
_cell_angle_gamma 90.00
_symmetry_space_group_name_H-M 'F -4 3 m'
_symmetry_Int_Tables_number 216
_symmetry_space_group_name_Hall 'F -4 2 3'
loop_
_atom_site_label
_atom_site_type_symbol
_atom_site_fract_x
_atom_site_fract_y
_atom_site_fract_z
Mg1 Mg 0.000 0.000 0.000
Sc1 Sc 0.250 0.250 0.250
In1 In 0.000 0.000 0.500
In2 In 0.250 0.250 0.750
# M_tot in Bohr magnetons per cell: 0.00
# Crystal system: cubic
# Formation energy from the elements in kJ/mol of atoms: -10.7



# 3
# PrSiIr | the Alexandria database | SCAN | single point on PBEsol structure
data_PrSiIr
_chemical_formula_sum 'Pr4 Si4 Ir4'
_cell_length_a 6.315
_cell_length_b 6.315
_cell_length_c 6.315
_cell_angle_alpha 90.00
_cell_angle_beta 90.00
_cell_angle_gamma 90.00
_symmetry_space_group_name_H-M 'P 21 3'
_symmetry_Int_Tables_number 198
_symmetry_space_group_name_Hall 'P 2ac 2ab 3'
loop_
_atom_site_label
_atom_site_type_symbol
_atom_site_fract_x
_atom_site_fract_y
_atom_site_fract_z
Pr1 Pr 0.125 0.125 0.125
Si1 Si 0.163 0.337 0.663
Ir1 Ir 0.069 0.569 0.931
# M_tot in Bohr magnetons per cell: 0.00
# Formation energy without anion corrections in eV/atom: -1.10
# Crystal system: cubic



# 4
# CaMgTc | the Alexandria database | SCAN | single point on PBEsol structure
data_CaMgTc
_chemical_formula_sum 'Ca4 Mg4 Tc4'
_cell_length_a 6.615
_cell_length_b 6.615
_cell_length_c 6.615
_cell_angle_alpha 90.00
_cell_angle_beta 90.00
_cell_angle_gamma 90.00
_symmetry_space_group_name_H-M 'F -4 3 m'
_symmetry_Int_Tables_number 216
_symmetry_space_group_name_Hall 'F -4 2 3'
loop_
_atom_site_label
_atom_site_type_symbol
_atom_site_fract_x
_atom_site_fract_y
_atom_site_fract_z
Ca1 Ca 0.000 0.000 0.000
Mg1 Mg 0.250 0.250 0.250
Tc1 Tc 0.000 0.000 0.500
# M_tot in Bohr magnetons per cell: 8.98
# Crystal system: cubic
# Formation energy from the elements in kJ/mol of atoms: 103.0
# Energy above the lowest structure with this stoichiometry in meV per atom: 616



# 5
# HfGaCo | the Alexandria database | SCAN | single point on PBEsol structure
data_HfGaCo
_chemical_formula_sum 'Hf3 Ga3 Co3'
_cell_length_a 6.8014
_cell_length_b 6.8014
_cell_length_c 3.2918
_cell_angle_alpha 90.00
_cell_angle_beta 90.00
_cell_angle_gamma 120.00
_symmetry_space_group_name_H-M 'P -6 2 m'
_symmetry_Int_Tables_number 189
_symmetry_space_group_name_Hall 'P -6 -2'
loop_
_atom_site_label
_atom_site_type_symbol
_atom_site_fract_x
_atom_site_fract_y
_atom_site_fract_z
Hf1 Hf 0.0000 0.4033 0.0000
Ga1 Ga 0.0000 0.7377 0.5000
Co1 Co 0.0000 0.0000 0.0000
Co2 Co 0.3333 0.6667 0.5000
# M_tot in Bohr magnetons per cell: 0.00
# Crystal system: hexagonal
# Formation energy from the elements in kJ/mol of atoms: -54.0



# 6
# CaCuTc2 | the Alexandria database | SCAN | single point on PBEsol structure
data_CaCuTc2
_chemical_formula_sum 'Ca2 Cu2 Tc4'
_cell_length_a 2.753
_cell_length_b 4.486
_cell_length_c 10.232
_cell_angle_alpha 90.00
_cell_angle_beta 90.00
_cell_angle_gamma 90.00
_symmetry_space_group_name_H-M 'I m m m'
_symmetry_Int_Tables_number 71
_symmetry_space_group_name_Hall '-I 2 2'
loop_
_atom_site_label
_atom_site_type_symbol
_atom_site_fract_x
_atom_site_fract_y
_atom_site_fract_z
Ca1 Ca 0.000 0.000 0.000
Cu1 Cu 0.000 0.000 0.500
Tc1 Tc 0.000 0.500 0.217
# M_tot in Bohr magnetons per cell: 0.00
# Crystal system: orthorhombic
# Formation energy from the elements in kJ/mol of atoms: 40.0
# Energy above the lowest structure with this stoichiometry in meV per atom: 0



# 7
# LaIn2Re | the Alexandria database | SCAN | single point on PBEsol structure
data_LaIn2Re
_chemical_formula_sum 'La1 In2 Re1'
_cell_length_a 3.499
_cell_length_b 3.500
_cell_length_c 7.525
_cell_angle_alpha 90.00
_cell_angle_beta 90.13
_cell_angle_gamma 90.00
_symmetry_space_group_name_H-M 'P 1 m 1'
_symmetry_Int_Tables_number 6
_symmetry_space_group_name_Hall 'P -2y'
loop_
_atom_site_label
_atom_site_type_symbol
_atom_site_fract_x
_atom_site_fract_y
_atom_site_fract_z
La1 La 0.000 0.000 0.000
In1 In 0.499 0.500 0.662
In2 In 0.998 0.000 0.419
Re1 Re 0.498 0.500 0.249
# M_tot in Bohr magnetons per cell: 0.00
# Crystal system: monoclinic
# Formation energy from the elements in kJ/mol of atoms: 19.4
# Energy above the lowest structure with this stoichiometry in meV per atom: 0



# 8
# Tl2CuNi | the Alexandria database | SCAN | single point on PBEsol structure
data_Tl2CuNi
_chemical_formula_sum 'Tl8 Cu4 Ni4'
_cell_length_a 6.595
_cell_length_b 6.595
_cell_length_c 6.595
_cell_angle_alpha 90.00
_cell_angle_beta 90.00
_cell_angle_gamma 90.00
_symmetry_space_group_name_H-M 'F -4 3 m'
_symmetry_Int_Tables_number 216
_symmetry_space_group_name_Hall 'F -4 2 3'
loop_
_atom_site_label
_atom_site_type_symbol
_atom_site_fract_x
_atom_site_fract_y
_atom_site_fract_z
Tl1 Tl 0.000 0.000 0.000
Tl2 Tl 0.250 0.250 0.250
Cu1 Cu 0.250 0.250 0.750
Ni1 Ni 0.000 0.000 0.500
# M_tot in Bohr magnetons per cell: 0.00
# Crystal system: cubic
# Formation energy from the elements in kJ/mol of atoms: 60.8